# 1
Below is a relaxed structure of SrTbMnSe4, with properties calculated at the GGA-PBE level.

Summary:
E_tot (eV per atom): -5.550
Total magnetic moment (μB/cell): 7.99
Uncorrected formation energy (eV per atom): -1.348

Lattice parameters (Å, degrees): 6.9244 6.4272 8.5562 90.00 107.31 90.00
Space group P2_1/m (No. 11)
Inequivalent atoms, fractional coordinates:
Sr  0.2472  0.2500  0.4401 (multiplicity 2)
Tb  0.2529  0.2500  0.9400 (multiplicity 2)
Mn  0.2600  0.7500  0.1802 (multiplicity 2)
Se  0.0652  0.7500  0.8989 (multiplicity 2)
Se  0.0703  0.7500  0.3735 (multiplicity 2)
Se  0.4849  0.5105  0.7694 (multiplicity 4)

# 2
Below is a relaxed structure of Y2Ho3Hg2, with properties calculated at the GGA-PBE level.

Summary:
E_tot (eV per atom): -4.084
Total magnetic moment (μB/cell): 0.00
Energy of formation from the pure elements (eV per atom): -0.189

Lattice parameters (Å, degrees): 3.5745 31.9127 3.5576 90.00 90.00 90.00
Space group Cmmm (No. 65)
Inequivalent atoms, fractional coordinates:
Y  0.0000  0.2027  0.0000 (multiplicity 4)
Ho  0.0000  0.3758  0.5000 (multiplicity 4)
Ho  0.0000  0.5000  0.5000 (multiplicity 2)
Hg  0.0000  0.0611  0.0000 (multiplicity 4)

# 3
Below is a relaxed structure of BeRe2Tc, with properties calculated at the GGA-PBE level.

Summary:
E_tot (eV per atom): -9.576
Total magnetic moment (μB/cell): 0.00
Energy of formation from the pure elements (eV per atom): 0.171

Lattice parameters (Å, degrees): 3.7547 3.7547 7.7745 90.00 90.00 90.00
Space group I-4m2 (No. 119)
Inequivalent atoms, fractional coordinates:
Be  0.0000  0.0000  0.0000 (multiplicity 2)
Re  0.0000  0.0000  0.5000 (multiplicity 2)
Re  0.0000  0.5000  0.7500 (multiplicity 2)
Tc  0.0000  0.5000  0.2500 (multiplicity 2)

# 4
Below is a relaxed structure of TlRu3W, with properties calculated at the GGA-PBE level.

Summary:
E_tot (eV per atom): -7.176
Total magnetic moment (μB/cell): 1.25
Energy of formation from the pure elements (eV per atom): 1.453

Lattice parameters (Å, degrees): 4.7302 4.7302 4.7302 90.00 90.00 90.00
Space group Pm-3m (No. 221)
Inequivalent atoms, fractional coordinates:
Tl  0.0000  0.0000  0.0000 (multiplicity 1)
Ru  0.0000  0.5000  0.5000 (multiplicity 3)
W  0.5000  0.5000  0.5000 (multiplicity 1)

# 5
Below is a relaxed structure of YHo6Er3, with properties calculated at the GGA-PBE level.

Summary:
E_tot (eV per atom): -4.606
Total magnetic moment (μB/cell): 0.01
Energy of formation from the pure elements (eV per atom): 0.156

Lattice parameters (Å, degrees): 10.9160 18.8421 6.1502 90.00 90.00 90.00
Space group Cmc2_1 (No. 36)
Inequivalent atoms, fractional coordinates:
Y  0.0000  0.2048  0.0000 (multiplicity 4)
Ho  0.0000  0.0454  0.2276 (multiplicity 4)
Ho  0.0000  0.2816  0.4974 (multiplicity 4)
Ho  0.1652  0.4534  0.6075 (multiplicity 8)
Ho  0.2448  0.2895  0.7848 (multiplicity 8)
Er  0.0000  0.3903  0.0710 (multiplicity 4)
Er  0.1704  0.1089  0.6817 (multiplicity 8)

# 6
Below is a relaxed structure of Tm3CdNi8, with properties calculated at the GGA-PBE level.

Summary:
E_tot (eV per atom): -5.490
Total magnetic moment (μB/cell): 0.00
Energy of formation from the pure elements (eV per atom): -0.441

Lattice parameters (Å, degrees): 4.9841 4.9841 24.5024 90.00 90.00 120.00
Space group R3m (No. 160, hexagonal axes)
Inequivalent atoms, fractional coordinates:
Tm  0.0000  0.0000  0.0000 (multiplicity 3)
Tm  0.0000  0.0000  0.1281 (multiplicity 3)
Tm  0.0000  0.0000  0.6179 (multiplicity 3)
Cd  0.0000  0.0000  0.4962 (multiplicity 3)
Ni  0.0000  0.0000  0.3112 (multiplicity 3)
Ni  0.0000  0.0000  0.8110 (multiplicity 3)
Ni  0.0002  0.5001  0.0604 (multiplicity 9)
Ni  0.0033  0.5016  0.5615 (multiplicity 9)

# 7
Below is a relaxed structure of BaLaPb, with properties calculated at the GGA-PBE level.

Summary:
E_tot (eV per atom): -3.642
Total magnetic moment (μB/cell): 0.87
Energy of formation from the pure elements (eV per atom): -0.122

Lattice parameters (Å, degrees): 4.1135 4.1135 8.6806 90.00 90.00 120.00
Space group P3m1 (No. 156)
Inequivalent atoms, fractional coordinates:
Ba  0.0000  0.0000  0.0000 (multiplicity 1)
La  0.6667  0.3333  0.4156 (multiplicity 1)
Pb  0.3333  0.6667  0.6917 (multiplicity 1)

# 8
Below is a relaxed structure of YMg3Hg, with properties calculated at the GGA-PBE level.

Summary:
E_tot (eV per atom): -2.163
Total magnetic moment (μB/cell): 0.00
Energy of formation from the pure elements (eV per atom): 0.147

Lattice parameters (Å, degrees): 5.1856 5.1856 5.1856 90.00 90.00 90.00
Space group Pm-3m (No. 221)
Inequivalent atoms, fractional coordinates:
Y  0.0000  0.0000  0.0000 (multiplicity 1)
Mg  0.0000  0.5000  0.5000 (multiplicity 3)
Hg  0.5000  0.5000  0.5000 (multiplicity 1)

# 9
Below is a relaxed structure of RbNa2Cl3, with properties calculated at the GGA-PBE level.

Summary:
E_tot (eV per atom): -3.302
Total magnetic moment (μB/cell): 0.00
Uncorrected formation energy (eV per atom): -1.778

Lattice parameters (Å, degrees): 4.5390 14.6475 10.4880 90.00 90.00 90.00
Space group Cmcm (No. 63)
Inequivalent atoms, fractional coordinates:
Rb  0.0000  0.2466  0.2500 (multiplicity 4)
Na  0.0000  0.0000  0.0000 (multiplicity 4)
Na  0.0000  0.4893  0.7500 (multiplicity 4)
Cl  0.0000  0.0784  0.7500 (multiplicity 4)
Cl  0.0000  0.3773  0.5551 (multiplicity 8)

# 10
Below is a relaxed structure of ErMgCd, with properties calculated at the GGA-PBE level.

Summary:
E_tot (eV per atom): -2.519
Total magnetic moment (μB/cell): 0.01
Energy of formation from the pure elements (eV per atom): -0.162

Lattice parameters (Å, degrees): 3.5054 12.0796 3.4991 90.00 90.00 90.00
Space group Pmn2_1 (No. 31)
Inequivalent atoms, fractional coordinates:
Er  0.0000  0.1024  0.0000 (multiplicity 2)
Mg  0.0000  0.4185  0.9975 (multiplicity 2)
Cd  0.0000  0.7256  0.9992 (multiplicity 2)